No. 1
# LaTl2As | Alexandria | PBE | relaxed
data_LaTl2As
_cell_length_a 4.026
_cell_length_b 4.026
_cell_length_c 6.778
_cell_angle_alpha 90.00
_cell_angle_beta 90.00
_cell_angle_gamma 90.00
_symmetry_space_group_name_H-M 'P 4/m m m'
_symmetry_Int_Tables_number 123
_symmetry_space_group_name_Hall '-P 4 2'
loop_
_atom_site_label
_atom_site_fract_x
_atom_site_fract_y
_atom_site_fract_z
La1 0.000 0.000 0.000
Tl1 0.500 0.500 0.280
As1 0.000 0.000 0.500
# formation energy from the elements = -0.205 eV/atom
# V = 27.5 Å³ per atom
# raw total energy = -3.782 eV per atom



No. 2
# La6Tl2As | Alexandria | PBE | relaxed
data_La6Tl2As
_cell_length_a 4.007
_cell_length_b 15.404
_cell_length_c 9.383
_cell_angle_alpha 90.00
_cell_angle_beta 90.00
_cell_angle_gamma 90.00
_symmetry_space_group_name_H-M 'A m m 2'
_symmetry_Int_Tables_number 38
loop_
_symmetry_equiv_pos_as_xyz
'x,y,z'
'-x,-y,z'
'-x,y,z'
'x,-y,z'
'x,y+1/2,z+1/2'
'-x,-y+1/2,z+1/2'
'-x,y+1/2,z+1/2'
'x,-y+1/2,z+1/2'
loop_
_atom_site_label
_atom_site_fract_x
_atom_site_fract_y
_atom_site_fract_z
La1 0.000 0.000 0.000
La2 0.000 0.105 0.577
La3 0.500 0.000 0.268
La4 0.500 0.190 0.908
Tl1 0.000 0.182 0.210
As1 0.500 0.000 0.761
# formation energy from the elements = -0.523 eV/atom
# V = 32.2 Å³ per atom
# raw total energy = -4.850 eV per atom



No. 3
# LaTl3As | Alexandria | PBE | relaxed
data_LaTl3As
_cell_length_a 5.471
_cell_length_b 5.471
_cell_length_c 5.471
_cell_angle_alpha 90.00
_cell_angle_beta 90.00
_cell_angle_gamma 90.00
_symmetry_space_group_name_H-M 'P m -3 m'
_symmetry_Int_Tables_number 221
_symmetry_space_group_name_Hall '-P 4 2 3'
loop_
_atom_site_label
_atom_site_fract_x
_atom_site_fract_y
_atom_site_fract_z
La1 0.000 0.000 0.000
Tl1 0.000 0.500 0.500
As1 0.500 0.500 0.500
# formation energy from the elements = 0.233 eV/atom
# V = 32.8 Å³ per atom
# raw total energy = -3.103 eV per atom



No. 4
# LaTl2As | Alexandria | PBE | relaxed
data_LaTl2As
_cell_length_a 7.665
_cell_length_b 7.665
_cell_length_c 7.665
_cell_angle_alpha 90.00
_cell_angle_beta 90.00
_cell_angle_gamma 90.00
_symmetry_space_group_name_H-M 'F m -3 m'
_symmetry_Int_Tables_number 225
_symmetry_space_group_name_Hall '-F 4 2 3'
loop_
_atom_site_label
_atom_site_fract_x
_atom_site_fract_y
_atom_site_fract_z
La1 0.000 0.000 0.000
Tl1 0.250 0.250 0.250
As1 0.000 0.000 0.500
# formation energy from the elements = -0.172 eV/atom
# V = 28.1 Å³ per atom
# raw total energy = -3.749 eV per atom



No. 5
# LaTlAs | Alexandria | PBE | relaxed
data_LaTlAs
_cell_length_a 4.892
_cell_length_b 5.967
_cell_length_c 11.683
_cell_angle_alpha 90.00
_cell_angle_beta 90.00
_cell_angle_gamma 90.00
_symmetry_space_group_name_H-M 'F m m 2'
_symmetry_Int_Tables_number 42
_symmetry_space_group_name_Hall 'F 2 -2'
loop_
_atom_site_label
_atom_site_fract_x
_atom_site_fract_y
_atom_site_fract_z
La1 0.000 0.000 0.000
Tl1 0.000 0.000 0.297
As1 0.000 0.000 0.639
# formation energy from the elements = -0.534 eV/atom
# V = 28.4 Å³ per atom
# raw total energy = -4.515 eV per atom



No. 6
# LaTl2As | Alexandria | PBE | relaxed
data_LaTl2As
_cell_length_a 4.158
_cell_length_b 4.158
_cell_length_c 7.391
_cell_angle_alpha 90.00
_cell_angle_beta 90.00
_cell_angle_gamma 90.00
_symmetry_space_group_name_H-M 'P 4 m m'
_symmetry_Int_Tables_number 99
loop_
_symmetry_equiv_pos_as_xyz
'x,y,z'
'-y,x,z'
'-x,-y,z'
'y,-x,z'
'-x,y,z'
'y,x,z'
'x,-y,z'
'-y,-x,z'
loop_
_atom_site_label
_atom_site_fract_x
_atom_site_fract_y
_atom_site_fract_z
La1 0.000 0.000 0.000
Tl1 0.000 0.000 0.539
Tl2 0.500 0.500 0.315
As1 0.500 0.500 0.913
# formation energy from the elements = -0.523 eV/atom
# V = 31.9 Å³ per atom
# raw total energy = -4.101 eV per atom



No. 7
# LaTlAs2 | Alexandria | PBE | relaxed
data_LaTlAs2
_cell_length_a 4.205
_cell_length_b 4.461
_cell_length_c 11.075
_cell_angle_alpha 90.00
_cell_angle_beta 90.00
_cell_angle_gamma 90.00
_symmetry_space_group_name_H-M 'I m m 2'
_symmetry_Int_Tables_number 44
loop_
_symmetry_equiv_pos_as_xyz
'x,y,z'
'-x,-y,z'
'-x,y,z'
'x,-y,z'
'x+1/2,y+1/2,z+1/2'
'-x+1/2,-y+1/2,z+1/2'
'-x+1/2,y+1/2,z+1/2'
'x+1/2,-y+1/2,z+1/2'
loop_
_atom_site_label
_atom_site_fract_x
_atom_site_fract_y
_atom_site_fract_z
La1 0.000 0.000 0.000
Tl1 0.000 0.500 0.232
As1 0.000 0.000 0.495
As2 0.000 0.500 0.797
# formation energy from the elements = -0.558 eV/atom
# V = 26.0 Å³ per atom
# raw total energy = -4.706 eV per atom



No. 8
# LaTl2As | Alexandria | PBE | relaxed
data_LaTl2As
_cell_length_a 4.2924
_cell_length_b 4.2924
_cell_length_c 25.3522
_cell_angle_alpha 90.00
_cell_angle_beta 90.00
_cell_angle_gamma 120.00
_symmetry_space_group_name_H-M 'R 3 m'
_symmetry_Int_Tables_number 160
_symmetry_space_group_name_Hall 'R 3 -2"'
loop_
_atom_site_label
_atom_site_fract_x
_atom_site_fract_y
_atom_site_fract_z
La1 0.0000 0.0000 0.0000
Tl1 0.0000 0.0000 0.2343
Tl2 0.0000 0.0000 0.4676
As1 0.0000 0.0000 0.7270
# formation energy from the elements = -0.352 eV/atom
# V = 33.7 Å³ per atom
# raw total energy = -3.929 eV per atom